Computed, not measured: crystalline SrNi4H7 at its relaxed geometry at the PBE-GGA level of DFT.

## Properties
The space group is Pmmn, No. 59. Its total energy is -4.22 eV per atom. For the total magnetic moment, the calculation gives 0.00 μB per atom.

The structure in POSCAR format:
```
SrNi4H7
1.0
3.745 0.000 0.000
0.000 3.724 0.000
0.000 0.000 13.762
Sr Ni H
2 8 14
direct
0.513 0.749 0.500
0.013 0.251 0.000
0.513 0.751 0.880
0.013 0.750 0.250
0.513 0.250 0.250
0.013 0.249 0.620
0.013 0.249 0.380
0.513 0.751 0.120
0.013 0.750 0.750
0.513 0.250 0.750
0.013 0.751 0.129
0.513 0.249 0.371
0.513 0.251 0.871
0.013 0.749 0.629
0.013 0.749 0.371
0.513 0.251 0.129
0.513 0.750 0.759
0.013 0.250 0.741
0.013 0.250 0.259
0.513 0.750 0.241
0.513 0.752 0.000
0.013 0.248 0.500
0.013 0.751 0.871
0.513 0.249 0.629
```